No. 1
First-principles (PBE) data for a geometry-optimized LuPaBi structure, as listed in the Alexandria database.

The structure in POSCAR format:
```
LuPaBi
1.0
-0.0738 -1.6111 3.5593
-2.0037 -3.0405 -1.4178
5.8387 -0.3244 -2.1707
Pa Bi Lu
1 1 1
direct
0.9424 0.9424 0.8849
0.2778 0.2778 0.5557
0.6297 0.6297 0.2594
```

## Properties
calculated formation energy = -0.08 eV/f.u.
SG = No. 107
raw total energy = -0.4404 Ry/atom
excess energy over the best structure of this formula in the dataset = 0.000 eV/atom
ρ = 12.0 g cm⁻³
DOS at the Fermi energy = 1.92 states/eV per atom


No. 2
First-principles (PBE) data for a geometry-optimized LuPaBi2 structure, as listed in the Alexandria database.

The structure in POSCAR format:
```
LuPaBi2
1.0
-0.6798 0.4349 -5.3549
1.6432 -3.9909 -3.2710
-3.6471 -3.1044 -2.5274
Bi Lu Pa
2 1 1
direct
0.2500 0.2500 0.2500
0.7500 0.7500 0.7500
0.5000 0.5000 0.5000
0.0000 0.0000 0.0000
```

## Properties
calculated formation energy = -1.01 eV/f.u.
SG = No. 225
raw total energy = -0.4187 Ry/atom
excess energy over the best structure of this formula in the dataset = 0.113 eV/atom
ρ = 12.2 g cm⁻³
DOS at the Fermi energy = 1.41 states/eV per atom


No. 3
First-principles (PBE) data for a geometry-optimized LuPaBi structure, as listed in the Alexandria database.

The structure in POSCAR format:
```
LuPaBi
1.0
3.4063 0.0000 0.0000
0.0000 5.3802 0.0000
0.0000 -2.6901 4.6594
Bi Pa Lu
1 1 1
direct
0.3839 0.3333 0.6667
0.0481 0.0000 0.0000
0.5680 0.6667 0.3333
```

## Properties
calculated formation energy = 0.31 eV/f.u.
SG = No. 156
raw total energy = -0.4309 Ry/atom
excess energy over the best structure of this formula in the dataset = 0.129 eV/atom
ρ = 12.0 g cm⁻³
DOS at the Fermi energy = 2.15 states/eV per atom


No. 4
First-principles (PBE) data for a geometry-optimized LuPaSnBi structure, as listed in the Alexandria database.

The structure in POSCAR format:
```
LuPaSnBi
1.0
-3.9296 -2.1058 -2.9519
-0.3486 -5.3021 -0.5962
-3.9644 -2.7010 2.3617
Lu Bi Pa Sn
1 1 1 1
direct
0.5000 0.5000 0.5000
0.7500 0.7500 0.7500
0.0000 0.0000 0.0000
0.2500 0.2500 0.2500
```

## Properties
calculated formation energy = -0.91 eV/f.u.
SG = No. 216
raw total energy = -0.4192 Ry/atom
ρ = 11.3 g cm⁻³
DOS at the Fermi energy = 1.62 states/eV per atom


No. 5
First-principles (PBE) data for a geometry-optimized Lu2BiPb structure, as listed in the Alexandria database.

The structure in POSCAR format:
```
Lu2BiPb
1.0
-0.8207 -0.8843 -3.3597
5.2985 0.9432 -1.5427
1.2698 -5.3414 1.0957
Bi Lu Pb
1 2 1
direct
0.5000 0.5000 0.5000
0.0000 0.0000 0.5000
0.0000 0.5000 0.0000
0.5000 0.0000 0.0000
```

## Properties
calculated formation energy = -1.47 eV/f.u.
SG = No. 123
raw total energy = -0.3327 Ry/atom
excess energy over the best structure of this formula in the dataset = 0.118 eV/atom
ρ = 11.4 g cm⁻³
DOS at the Fermi energy = 0.77 states/eV per atom


No. 6
First-principles (PBE) data for a geometry-optimized Lu2BiPb structure, as listed in the Alexandria database.

The structure in POSCAR format:
```
Lu2BiPb
1.0
-2.0828 -1.3474 3.4481
-0.5779 -4.1590 0.6421
5.7353 -2.1574 5.2377
Lu Bi Pb
2 1 1
direct
0.7518 0.7518 0.7445
0.2482 0.2482 0.2555
0.5000 0.5000 0.5000
0.0000 0.0000 0.0000
```

## Properties
calculated formation energy = -1.94 eV/f.u.
SG = No. 166
raw total energy = -0.3413 Ry/atom
excess energy over the best structure of this formula in the dataset = 0.000 eV/atom
ρ = 10.6 g cm⁻³
DOS at the Fermi energy = 0.20 states/eV per atom


No. 7
First-principles (PBE) data for a geometry-optimized Lu2BiPb structure, as listed in the Alexandria database.

The structure in POSCAR format:
```
Lu2BiPb
1.0
4.0184 0.0000 0.0000
0.0000 4.0184 0.0000
0.0000 0.0000 6.8851
Lu Bi Pb
2 1 1
direct
0.0000 0.0000 0.7527
0.0000 0.0000 0.2473
0.5000 0.5000 0.0000
0.5000 0.5000 0.5000
```

## Properties
calculated formation energy = -1.57 eV/f.u.
SG = No. 123
raw total energy = -0.3345 Ry/atom
excess energy over the best structure of this formula in the dataset = 0.093 eV/atom
ρ = 11.4 g cm⁻³
DOS at the Fermi energy = 0.78 states/eV per atom


No. 8
First-principles (PBE) data for a geometry-optimized LuBiPb2 structure, as listed in the Alexandria database.

The structure in POSCAR format:
```
LuBiPb2
1.0
3.4722 0.0000 0.0000
1.7361 3.0070 0.0000
1.7361 1.0023 12.2500
Pb Bi Lu
2 1 1
direct
0.9146 0.9146 0.2561
0.0854 0.0854 0.7439
0.5000 0.5000 0.5000
0.0000 0.0000 0.0000
```

## Properties
calculated formation energy = 0.63 eV/f.u.
SG = No. 166
raw total energy = -0.2791 Ry/atom
excess energy over the best structure of this formula in the dataset = 0.354 eV/atom
ρ = 10.4 g cm⁻³
DOS at the Fermi energy = 0.72 states/eV per atom


Among the records above, which one has the highest calculated formation energy?
LuBiPb2


Which value of calculated formation energy does entry 6 give?
-1.94 eV/f.u.